Crystalline Y2Ho2CBrCl4 at its relaxed geometry, computed with PBE.

Lattice parameters (Å, degrees): 8.6980 8.6980 8.0702 103.11 103.11 24.93
Fractional coordinates of all 10 atoms:
Br  0.5000  0.5000  0.5000
Y  0.9986  0.9986  0.2020
Ho  0.3564  0.3564  0.9234
Cl  0.1721  0.1721  0.8486
Y  0.0014  0.0014  0.7980
Ho  0.6436  0.6436  0.0766
C  0.5000  0.5000  0.0000
Cl  0.8279  0.8279  0.1514
Cl  0.1649  0.1649  0.3224
Cl  0.8351  0.8351  0.6776

Results
Spin magnetization = 0.009 μB per atom
Crystal system = monoclinic
Uncorrected energy = -56.8 eV per formula unit